Computed, not measured: crystalline MnVP2O8 at its relaxed geometry at the PBE with a Hubbard U level of DFT.

Structure (CIF):
```
data_MnVP2O8
_chemical_formula_sum 'Mn9 V9 P18 O72'
_cell_length_a 8.6025
_cell_length_b 8.6025
_cell_length_c 21.0671
_cell_angle_alpha 90.00
_cell_angle_beta 90.00
_cell_angle_gamma 120.00
_symmetry_space_group_name_H-M 'R 3'
_symmetry_Int_Tables_number 146
_symmetry_space_group_name_Hall 'R 3'
loop_
_atom_site_label
_atom_site_fract_x
_atom_site_fract_y
_atom_site_fract_z
Mn1 0.0000 0.0000 0.0000
Mn2 0.0000 0.0000 0.1406
Mn3 0.0000 0.0000 0.6412
V1 0.0000 0.0000 0.2846
V2 0.0000 0.0000 0.4976
V3 0.0000 0.0000 0.7858
P1 0.9995 0.2885 0.8928
P2 0.0416 0.6674 0.0579
O1 0.0004 0.1917 0.8311
O2 0.0007 0.8074 0.4518
O3 0.0045 0.8086 0.3306
O4 0.0195 0.1847 0.5619
O5 0.0232 0.8375 0.0629
O6 0.1422 0.4703 0.6200
O7 0.1681 0.6846 0.3877
O8 0.1695 0.4793 0.8872
```

- E (eV per atom) = -7.528
- total magnetic moment (μB per formula unit) = 5.3
- E above lowest polymorph (meV per atom) = 12.1
- volume (A^3/atom) = 12.501